(1)
A plane-wave DFT calculation with PBE was carried out for a relaxed GaCoGe crystal.

- energy above the lowest structure with this stoichiometry (meV/atom) = 408
- symmetry = F-43m (216)

abc: 4.055 4.055 4.055
angles: 60.00 60.00 60.00
Atoms (fractional coordinates):
1 Co 0.250 0.250 0.250
2 Ga 0.750 0.750 0.750
3 Ge 0.000 0.000 0.000



(2)
A plane-wave DFT calculation with PBE was carried out for a relaxed BaSi2Au crystal.

- symmetry = F-43m (216)
- calculated total energy (eV/cell) = -15.144

abc: 5.131 5.131 5.131
angles: 60.00 60.00 60.00
Atoms (fractional coordinates):
1 Ba 0.750 0.750 0.750
2 Au 0.500 0.500 0.500
3 Si 0.250 0.250 0.250
4 Si 0.000 0.000 0.000



(3)
A plane-wave DFT calculation with PBE was carried out for a relaxed Pr3AuS6 crystal.

- symmetry = P-1 (2)
- calculated total energy (eV/cell) = -57.244

abc: 4.479 6.851 8.582
angles: 91.01 102.51 95.77
Atoms (fractional coordinates):
1 Pr 0.627 0.543 0.775
2 Pr 0.000 0.000 0.500
3 Pr 0.373 0.457 0.225
4 S 0.831 0.181 0.199
5 S 0.546 0.262 0.520
6 S 0.860 0.695 0.113
7 S 0.169 0.819 0.801
8 S 0.140 0.305 0.887
9 S 0.454 0.738 0.480
10 Au 0.000 0.000 0.000



(4)
A plane-wave DFT calculation with PBE was carried out for a relaxed Th3TlFe crystal.

- symmetry = Pm-3m (221)
- calculated total energy (eV/cell) = -33.609

abc: 5.231 5.231 5.231
angles: 90.00 90.00 90.00
Atoms (fractional coordinates):
1 Tl 0.500 0.500 0.500
2 Th 0.000 0.500 0.000
3 Th 0.500 0.000 0.000
4 Th 0.000 0.000 0.500
5 Fe 0.000 0.000 0.000



(5)
A plane-wave DFT calculation with PBE was carried out for a relaxed SbAu17 crystal.

- energy above the lowest structure with this stoichiometry (meV/atom) = 0
- symmetry = Pm (6)

abc: 5.912 10.098 21.968
angles: 89.54 90.00 90.00
Atoms (fractional coordinates):
1 Au 0.749 0.919 0.502
2 Au 0.499 0.661 0.173
3 Au 0.249 0.253 0.393
4 Au 0.754 0.577 0.944
5 Au 0.751 0.413 0.173
6 Au 0.249 0.584 0.611
7 Au 0.999 0.500 0.721
8 Au 0.249 0.250 0.720
9 Au 0.999 0.666 0.830
10 Au 0.999 0.169 0.830
11 Au 0.749 0.085 0.610
12 Au 0.999 0.826 0.941
13 Au 0.249 0.919 0.502
14 Au 0.749 0.250 0.720
15 Au 0.499 0.481 0.062
16 Au 0.499 0.002 0.393
17 Au 0.249 0.752 0.394
18 Au 0.499 0.167 0.175
19 Au 0.244 0.577 0.944
20 Au 0.999 0.329 0.945
21 Au 0.999 0.001 0.719
22 Au 0.751 0.417 0.830
23 Au 0.999 0.482 0.060
24 Au 0.752 0.917 0.827
25 Au 0.499 0.499 0.721
26 Au 0.499 0.834 0.610
27 Au 0.750 0.750 0.719
28 Au 0.499 0.502 0.392
29 Au 0.249 0.085 0.284
30 Au 0.499 0.335 0.611
31 Au 0.999 0.163 0.174
32 Au 0.247 0.417 0.830
33 Au 0.499 0.664 0.829
34 Au 0.749 0.584 0.611
35 Au 0.749 0.419 0.502
36 Au 0.999 0.668 0.502
37 Au 0.749 0.725 0.060
38 Au 0.999 0.502 0.392
39 Au 0.999 0.335 0.611
40 Au 0.245 0.237 0.060
41 Au 0.499 0.335 0.283
42 Au 0.499 0.668 0.502
43 Au 0.749 0.253 0.393
44 Au 0.246 0.917 0.827
45 Au 0.999 0.834 0.610
46 Au 0.249 0.085 0.610
47 Au 0.499 0.833 0.286
48 Au 0.245 0.909 0.178
49 Au 0.249 0.750 0.719
50 Au 0.999 0.833 0.286
51 Au 0.250 0.725 0.060
52 Au 0.750 0.085 0.284
53 Au 0.999 0.659 0.173
54 Au 0.749 0.752 0.394
55 Au 0.753 0.237 0.060
56 Au 0.499 0.169 0.502
57 Au 0.249 0.419 0.502
58 Au 0.249 0.584 0.283
59 Au 0.752 0.081 0.940
60 Au 0.499 0.166 0.828
61 Au 0.246 0.081 0.941
62 Au 0.248 0.413 0.173
63 Au 0.749 0.584 0.283
64 Au 0.499 0.000 0.719
65 Au 0.753 0.909 0.177
66 Au 0.999 0.169 0.502
67 Au 0.999 0.335 0.283
68 Au 0.999 0.003 0.393
69 Sb 0.499 0.330 0.944
70 Sb 0.498 0.986 0.071
71 Sb 0.998 0.978 0.054
72 Sb 0.499 0.825 0.938



(6)
A plane-wave DFT calculation with PBE was carried out for a relaxed Hf3GaB4 crystal.

- symmetry = Pmmm (47)
- calculated total energy (eV/cell) = -65.928

abc: 3.146 3.536 8.565
angles: 90.00 90.00 90.00
Atoms (fractional coordinates):
1 B 0.000 0.500 0.711
2 B 0.500 0.500 0.610
3 B 0.000 0.500 0.289
4 B 0.500 0.500 0.390
5 Hf 0.500 0.000 0.811
6 Hf 0.000 0.000 0.500
7 Hf 0.500 0.000 0.189
8 Ga 0.000 0.500 0.000



(7)
A plane-wave DFT calculation with PBE was carried out for a relaxed KDyMg crystal.

- symmetry = F-43m (216)
- calculated total energy (eV/cell) = -4.567

abc: 5.665 5.665 5.665
angles: 60.00 60.00 60.00
Site moments in Bohr magnetons follow the coordinates.
Atoms (fractional coordinates):
1 K 0.250 0.250 0.250  0.01
2 Dy 0.000 0.000 0.000  0.30
3 Mg 0.750 0.750 0.750  0.01



(8)
A plane-wave DFT calculation with PBE was carried out for a relaxed PmSb crystal.

- energy above the lowest structure with this stoichiometry (meV/atom) = 0
- symmetry = Fm-3m (225)

abc: 4.487 4.487 4.487
angles: 60.00 60.00 60.00
Atoms (fractional coordinates):
1 Pm 0.000 0.000 0.000
2 Sb 0.500 0.500 0.500